# Ce2NpAl9

Ce2NpAl9 after structural relaxation (PBE, the Alexandria database).

It has space group R-3m (No. 166, hexagonal axes), with a = 5.5725 Å, b = 5.5725 Å, c = 26.4864 Å, α = 90.00°, β = 90.00° and γ = 120.00°. The asymmetric unit holds Ce at (0.0000, 0.0000, 0.1417), Np at (0.0000, 0.0000, 0.0000), Al at (0.0000, 0.0000, 0.3348), Al at (0.0000, 0.0000, 0.5000) and Al at (0.0059, 0.5030, 0.9178).

The volume is 712.28 Å³ per cell. Its formation energy is -0.245 eV/atom.